Computed, not measured: a geometry-optimized Ba2TlSiS4 structure at the GGA-PBE level of DFT.

Cell lengths 8.5701, 8.5701, 8.5701 Å; angles 120.34, 119.59, 90.07 degrees
Fractional coordinates of all 16 atoms:
Ba: 0.0000 0.0000 0.0000
Ba: 0.5000 0.0000 0.0000
Ba: 0.5000 0.0000 0.5000
Ba: 0.5000 0.5000 0.5000
Tl: 0.0000 0.5000 0.5000
Tl: 0.5000 0.5000 0.0000
Si: 0.0000 0.0000 0.5000
Si: 0.0000 0.5000 0.0000
S: 0.2186 0.7463 0.4723
S: 0.2261 0.2537 0.9723
S: 0.2321 0.2412 0.5091
S: 0.2321 0.7231 0.9909
S: 0.7679 0.2769 0.0091
S: 0.7679 0.7588 0.4909
S: 0.7739 0.7463 0.0277
S: 0.7814 0.2537 0.5277

Calculated values
- ΔE_f (raw) (eV/atom) = -0.883
- raw total energy (eV per atom) = -4.40

Computed, not measured: a geometry-optimized BaTl2Si2S6 structure at the GGA-PBE level of DFT.

Cell lengths 9.3417, 9.3417, 9.3417 Å; angles 44.91, 44.91, 44.91 degrees
Fractional coordinates of all 11 atoms:
Ba: 0.0000 0.0000 0.0000
Tl: 0.2032 0.2032 0.2032
Tl: 0.7968 0.7968 0.7968
Si: 0.4250 0.4250 0.4250
Si: 0.5750 0.5750 0.5750
S: 0.2428 0.7376 0.7376
S: 0.2624 0.2624 0.7572
S: 0.2624 0.7572 0.2624
S: 0.7376 0.2428 0.7376
S: 0.7376 0.7376 0.2428
S: 0.7572 0.2624 0.2624

Calculated values
- ΔE_f (raw) (eV/atom) = -0.738
- raw total energy (eV per atom) = -4.58

Computed, not measured: a geometry-optimized BaUSiS6 structure at the GGA-PBE level of DFT.

Cell lengths 6.3857, 6.3857, 6.9796 Å; angles 90.00, 90.00, 120.00 degrees
Fractional coordinates of all 9 atoms:
Ba: 0.0000 0.0000 0.0000
U: 0.3333 0.6667 0.5000
Si: 0.6667 0.3333 0.5000
S: 0.3881 0.0278 0.7004
S: 0.3881 0.3603 0.2996
S: 0.6397 0.0278 0.2996
S: 0.6397 0.6119 0.7004
S: 0.9722 0.3603 0.7004
S: 0.9722 0.6119 0.2996

Calculated values
- ΔE_f (raw) (eV/atom) = -1.046
- raw total energy (eV per atom) = -5.87

Computed, not measured: a geometry-optimized BaVSi2S8 structure at the GGA-PBE level of DFT.

Cell lengths 5.9916, 5.9916, 8.5848 Å; angles 90.00, 90.00, 120.00 degrees
Fractional coordinates of all 12 atoms:
Ba: 0.0000 0.0000 0.0000
V: 0.0000 0.0000 0.5000
Si: 0.3333 0.6667 0.7227
Si: 0.6667 0.3333 0.2773
S: 0.0098 0.6843 0.3417
S: 0.3157 0.3254 0.3417
S: 0.3254 0.0098 0.6583
S: 0.3333 0.6667 0.9679
S: 0.6667 0.3333 0.0321
S: 0.6746 0.9902 0.3417
S: 0.6843 0.6746 0.6583
S: 0.9902 0.3157 0.6583

Calculated values
- ΔE_f (raw) (eV/atom) = -0.722
- raw total energy (eV per atom) = -5.30

Computed, not measured: a geometry-optimized BaZnSi2S6 structure at the GGA-PBE level of DFT.

Cell lengths 9.5755, 9.5755, 5.7727 Å; angles 94.72, 94.72, 100.25 degrees
Fractional coordinates of all 20 atoms:
Ba: 0.1174 0.8826 0.7500
Ba: 0.8826 0.1174 0.2500
Zn: 0.3679 0.6321 0.2500
Zn: 0.6321 0.3679 0.7500
Si: 0.2225 0.3726 0.8043
Si: 0.3726 0.2225 0.3043
Si: 0.6274 0.7775 0.6957
Si: 0.7775 0.6274 0.1957
S: 0.0413 0.2145 0.7721
S: 0.1904 0.5724 0.9530
S: 0.2145 0.0413 0.2721
S: 0.2994 0.4089 0.4605
S: 0.4089 0.2994 0.9605
S: 0.4276 0.8096 0.5470
S: 0.5724 0.1904 0.4530
S: 0.5911 0.7006 0.0395
S: 0.7006 0.5911 0.5395
S: 0.7855 0.9587 0.7279
S: 0.8096 0.4276 0.0470
S: 0.9587 0.7855 0.2279

Calculated values
- ΔE_f (raw) (eV/atom) = -0.928
- raw total energy (eV per atom) = -4.81

Computed, not measured: a geometry-optimized BaSm2S4 structure at the GGA-PBE level of DFT.

Cell lengths 7.0620, 7.0620, 13.8633 Å; angles 90.00, 90.00, 146.05 degrees
Fractional coordinates of all 14 atoms:
Ba: 0.1110 0.8890 0.7500
Ba: 0.8890 0.1110 0.2500
Sm: 0.3658 0.6342 0.5680
Sm: 0.3658 0.6342 0.9320
Sm: 0.6342 0.3658 0.0680
Sm: 0.6342 0.3658 0.4320
S: 0.0000 0.0000 0.0000
S: 0.0000 0.0000 0.5000
S: 0.2665 0.7335 0.1117
S: 0.2665 0.7335 0.3883
S: 0.4416 0.5584 0.7500
S: 0.5584 0.4416 0.2500
S: 0.7335 0.2665 0.6117
S: 0.7335 0.2665 0.8883

Calculated values
- ΔE_f (raw) (eV/atom) = -2.093
- relative energy among the computed polymorphs (meV/atom) = 22.7
- raw total energy (eV per atom) = -6.07

Computed, not measured: a geometry-optimized BaSm2S4 structure at the GGA-PBE level of DFT.

Cell lengths 12.4088, 4.1477, 14.8300 Å; angles 90.00, 90.00, 90.00 degrees
Fractional coordinates of all 28 atoms:
Ba: 0.2443 0.2500 0.1601
Ba: 0.2557 0.7500 0.6601
Ba: 0.7443 0.2500 0.3399
Ba: 0.7557 0.7500 0.8399
Sm: 0.0727 0.2500 0.3921
Sm: 0.0772 0.2500 0.8967
Sm: 0.4228 0.7500 0.3967
Sm: 0.4273 0.7500 0.8921
Sm: 0.5727 0.2500 0.1079
Sm: 0.5772 0.2500 0.6033
Sm: 0.9228 0.7500 0.1033
Sm: 0.9273 0.7500 0.6079
S: 0.0194 0.7500 0.7828
S: 0.0792 0.2500 0.5789
S: 0.1282 0.7500 0.0224
S: 0.2092 0.7500 0.3297
S: 0.2908 0.2500 0.8297
S: 0.3718 0.2500 0.5224
S: 0.4208 0.7500 0.0789
S: 0.4806 0.2500 0.2828
S: 0.5194 0.7500 0.7172
S: 0.5792 0.2500 0.9211
S: 0.6282 0.7500 0.4776
S: 0.7092 0.7500 0.1703
S: 0.7908 0.2500 0.6703
S: 0.8718 0.2500 0.9776
S: 0.9208 0.7500 0.4211
S: 0.9806 0.2500 0.2172

Calculated values
- ΔE_f (raw) (eV/atom) = -2.115
- relative energy among the computed polymorphs (meV/atom) = 0.0
- raw total energy (eV per atom) = -6.10

Computed, not measured: a geometry-optimized Ba3Sm4S8 structure at the GGA-PBE level of DFT.

Cell lengths 8.4879, 8.4879, 8.3488 Å; angles 119.26, 119.26, 90.10 degrees
Fractional coordinates of all 15 atoms:
Ba: 0.0000 0.0000 0.0000
Ba: 0.0000 0.5000 0.0000
Ba: 0.5000 0.0000 0.0000
Sm: 0.0000 0.5000 0.5000
Sm: 0.5000 0.0000 0.5000
Sm: 0.5000 0.5000 0.0000
Sm: 0.5000 0.5000 0.5000
S: 0.2619 0.7381 0.0000
S: 0.2638 0.7362 0.5000
S: 0.2705 0.2705 0.5216
S: 0.2843 0.2843 0.0377
S: 0.7157 0.7157 0.9623
S: 0.7295 0.7295 0.4784
S: 0.7362 0.2638 0.5000
S: 0.7381 0.2619 0.0000

Calculated values
- ΔE_f (raw) (eV/atom) = -1.959
- raw total energy (eV per atom) = -5.80

Computed, not measured: a geometry-optimized BaSm6S8 structure at the GGA-PBE level of DFT.

Cell lengths 7.8921, 7.8921, 7.8921 Å; angles 94.28, 94.28, 94.28 degrees
Fractional coordinates of all 15 atoms:
Ba: 0.0000 0.0000 0.0000
Sm: 0.1895 0.3842 0.5648
Sm: 0.3842 0.5648 0.1895
Sm: 0.4352 0.8105 0.6158
Sm: 0.5648 0.1895 0.3842
Sm: 0.6158 0.4352 0.8105
Sm: 0.8105 0.6158 0.4352
S: 0.1466 0.6934 0.3941
S: 0.2428 0.2428 0.2428
S: 0.3066 0.6059 0.8534
S: 0.3941 0.1466 0.6934
S: 0.6059 0.8534 0.3066
S: 0.6934 0.3941 0.1466
S: 0.7572 0.7572 0.7572
S: 0.8534 0.3066 0.6059

Calculated values
- ΔE_f (raw) (eV/atom) = -1.774
- raw total energy (eV per atom) = -5.99

Computed, not measured: a geometry-optimized BaSm4S6 structure at the GGA-PBE level of DFT.

Cell lengths 6.9766, 6.9766, 20.8135 Å; angles 90.00, 90.00, 146.08 degrees
Fractional coordinates of all 22 atoms:
Ba: 0.1580 0.8420 0.7500
Ba: 0.8420 0.1580 0.2500
Sm: 0.0959 0.9041 0.1277
Sm: 0.0959 0.9041 0.3723
Sm: 0.3631 0.6369 0.0403
Sm: 0.3631 0.6369 0.4597
Sm: 0.6369 0.3631 0.5403
Sm: 0.6369 0.3631 0.9597
Sm: 0.9041 0.0959 0.6277
Sm: 0.9041 0.0959 0.8723
S: 0.0000 0.0000 0.0000
S: 0.0000 0.0000 0.5000
S: 0.1675 0.8325 0.2500
S: 0.2687 0.7313 0.5855
S: 0.2687 0.7313 0.9145
S: 0.4603 0.5397 0.1580
S: 0.4603 0.5397 0.3420
S: 0.5397 0.4603 0.6580
S: 0.5397 0.4603 0.8420
S: 0.7313 0.2687 0.0855
S: 0.7313 0.2687 0.4145
S: 0.8325 0.1675 0.7500

Calculated values
- ΔE_f (raw) (eV/atom) = -2.062
- raw total energy (eV per atom) = -6.20

Computed, not measured: a geometry-optimized Ba2SmSnS5 structure at the GGA-PBE level of DFT.

Cell lengths 9.3274, 9.3274, 12.8350 Å; angles 90.00, 90.00, 152.65 degrees
Fractional coordinates of all 18 atoms:
Ba: 0.1133 0.8867 0.5000
Ba: 0.1322 0.8678 0.1291
Ba: 0.8678 0.1322 0.6291
Ba: 0.8867 0.1133 0.0000
Sm: 0.2132 0.7868 0.8366
Sm: 0.7868 0.2132 0.3366
Sn: 0.4538 0.5462 0.2700
Sn: 0.5462 0.4538 0.7700
S: 0.0513 0.9487 0.8674
S: 0.2878 0.7122 0.4755
S: 0.3178 0.6822 0.1931
S: 0.3611 0.6389 0.8180
S: 0.4957 0.5043 0.5909
S: 0.5043 0.4957 0.0909
S: 0.6389 0.3611 0.3180
S: 0.6822 0.3178 0.6931
S: 0.7122 0.2878 0.9755
S: 0.9487 0.0513 0.3674

Calculated values
- ΔE_f (raw) (eV/atom) = -1.609
- raw total energy (eV per atom) = -5.30

Computed, not measured: a geometry-optimized Ba2SmTaS6 structure at the GGA-PBE level of DFT.

Cell lengths 7.0949, 7.1709, 7.1804 Å; angles 119.32, 119.04, 90.11 degrees
Fractional coordinates of all 10 atoms:
Ba: 0.2463 0.2609 0.0004
Ba: 0.7537 0.7391 0.9996
Sm: 0.5000 0.0000 0.5000
Ta: 0.0000 0.5000 0.5000
S: 0.1659 0.1962 0.4782
S: 0.2325 0.7100 0.9729
S: 0.3055 0.6855 0.5193
S: 0.6945 0.3145 0.4807
S: 0.7675 0.2900 0.0271
S: 0.8341 0.8038 0.5218

Calculated values
- ΔE_f (raw) (eV/atom) = -1.693
- raw total energy (eV per atom) = -6.21